Entry from Alexandria: a geometry-optimized TlAg2P structure (PBE).

The structure in extended XYZ format:
```
4
Lattice="-4.5863 -5.6284 -5.0714 -2.5066 -7.7169 -3.5494 -5.3131 -6.7830 -2.0477" Properties=species:S:1:pos:R:3 pbc="T T T"
P -6.3433 -10.2917 -5.4548
Ag -3.0219 -4.9029 -2.5986
Ag -12.3181 -19.9856 -10.5928
Tl -9.3319 -15.1407 -8.0249
```

Calculated total energy ... -12.09 eV/cell
Calculated formation energy ... 0.35 eV/atom

=====

Entry from Alexandria: a geometry-optimized TlZn2AgP structure (PBE).

The structure in extended XYZ format:
```
5
Lattice="-0.4384 3.4825 3.5781 -1.1744 -3.8487 3.6020 4.8726 -0.4857 1.0697" Properties=species:S:1:pos:R:3 pbc="T T T"
Zn 2.4363 -0.2428 0.5348
Zn -0.2192 1.7412 1.7890
Ag -0.5872 -1.9244 1.8010
Tl 0.0000 0.0000 0.0000
P 1.6299 -0.4260 4.1249
```

Calculated total energy ... -8.08 eV/cell
Calculated formation energy ... 1.02 eV/atom

=====

Entry from Alexandria: a geometry-optimized TmAgP structure (PBE).

The structure in extended XYZ format:
```
6
Lattice="-3.7765 0.4353 -0.2259 1.2447 -4.1635 3.2689 0.5833 6.4267 2.6316" Properties=species:S:1:pos:R:3 pbc="T T T"
P -0.1088 -0.1614 1.5090
P -1.8396 2.8599 4.1657
Tm -0.4606 -2.3358 3.1995
Tm -1.4879 5.0344 2.4752
Ag -2.0747 0.3449 3.2506
Ag 0.1263 2.3537 2.4241
```

Calculated total energy ... -29.94 eV/cell
Calculated formation energy ... -0.75 eV/atom